Be3NbSn | GGA-PBEsol | relaxed

Computed properties:
energy of formation = 6.9 eV per formula unit
D(E_F) = 3.419 states/eV per cell
SG = No. 221

Lattice parameters (Å, degrees): 4.4403 4.4403 4.4403 90.00 90.00 90.00
Atoms (fractional coordinates):
Be (0.0000, 0.0000, 0.5000)
Be (0.0000, 0.5000, 0.0000)
Be (0.5000, 0.0000, 0.0000)
Nb (0.0000, 0.0000, 0.0000)
Sn (0.5000, 0.5000, 0.5000)

***

VBi2O6 | GGA-PBEsol | relaxed

Computed properties:
formation energy without anion corrections = -1.575 eV/atom
D(E_F) = 9.604 states/eV per cell
SG = No. 14

Lattice parameters (Å, degrees): 7.0918 7.0145 10.6468 90.00 109.18 90.00
Atoms (fractional coordinates):
V (0.1332, 0.0678, 0.3242)
V (0.1332, 0.4322, 0.8242)
V (0.8668, 0.5678, 0.1758)
V (0.8668, 0.9322, 0.6758)
Bi (0.2597, 0.5960, 0.4747)
Bi (0.2597, 0.9040, 0.9747)
Bi (0.4003, 0.1330, 0.6812)
Bi (0.4003, 0.3670, 0.1812)
Bi (0.5997, 0.6330, 0.8188)
Bi (0.5997, 0.8670, 0.3188)
Bi (0.7403, 0.0960, 0.0253)
Bi (0.7403, 0.4040, 0.5253)
O (0.1097, 0.5065, 0.2152)
O (0.1097, 0.9935, 0.7152)
O (0.1585, 0.1452, 0.1779)
O (0.1585, 0.3548, 0.6779)
O (0.2052, 0.2221, 0.4566)
O (0.2052, 0.2779, 0.9566)
O (0.2894, 0.6278, 0.8691)
O (0.2894, 0.8722, 0.3691)
O (0.4269, 0.6968, 0.1377)
O (0.4269, 0.8032, 0.6377)
O (0.4911, 0.5582, 0.3774)
O (0.4911, 0.9418, 0.8774)
O (0.5089, 0.0582, 0.1226)
O (0.5089, 0.4418, 0.6226)
O (0.5731, 0.1968, 0.3623)
O (0.5731, 0.3032, 0.8623)
O (0.7106, 0.1278, 0.6309)
O (0.7106, 0.3722, 0.1309)
O (0.7948, 0.7221, 0.0434)
O (0.7948, 0.7779, 0.5434)
O (0.8415, 0.6452, 0.3221)
O (0.8415, 0.8548, 0.8221)
O (0.8903, 0.0065, 0.2848)
O (0.8903, 0.4935, 0.7848)

***

Hf2ReTc | GGA-PBEsol | relaxed

Computed properties:
energy of formation = -1.6 eV per formula unit
D(E_F) = 11.323 states/eV per cell
SG = No. 225

Lattice parameters (Å, degrees): 6.4577 6.4577 6.4577 90.00 90.00 90.00
Atoms (fractional coordinates):
Hf (0.2500, 0.2500, 0.2500)
Hf (0.2500, 0.2500, 0.7500)
Hf (0.2500, 0.7500, 0.2500)
Hf (0.2500, 0.7500, 0.7500)
Hf (0.7500, 0.2500, 0.2500)
Hf (0.7500, 0.2500, 0.7500)
Hf (0.7500, 0.7500, 0.2500)
Hf (0.7500, 0.7500, 0.7500)
Re (0.0000, 0.0000, 0.0000)
Re (0.0000, 0.5000, 0.5000)
Re (0.5000, 0.0000, 0.5000)
Re (0.5000, 0.5000, 0.0000)
Tc (0.0000, 0.0000, 0.5000)
Tc (0.0000, 0.5000, 0.0000)
Tc (0.5000, 0.0000, 0.0000)
Tc (0.5000, 0.5000, 0.5000)

***

Dy2S3 | GGA-PBEsol | relaxed

Computed properties:
formation energy without anion corrections = -2.142 eV/atom
SG = No. 62

Lattice parameters (Å, degrees): 7.1813 3.8377 14.9524 90.00 90.00 90.00
Atoms (fractional coordinates):
Dy (0.1405, 0.2500, 0.2044)
Dy (0.2336, 0.7500, 0.4573)
Dy (0.2664, 0.2500, 0.9573)
Dy (0.3595, 0.7500, 0.7044)
Dy (0.6405, 0.2500, 0.2956)
Dy (0.7336, 0.7500, 0.0427)
Dy (0.7664, 0.2500, 0.5427)
Dy (0.8595, 0.7500, 0.7956)
S (0.0069, 0.2500, 0.3911)
S (0.1235, 0.7500, 0.0674)
S (0.1490, 0.2500, 0.7817)
S (0.3510, 0.7500, 0.2817)
S (0.3765, 0.2500, 0.5674)
S (0.4931, 0.7500, 0.8911)
S (0.5069, 0.2500, 0.1089)
S (0.6235, 0.7500, 0.4326)
S (0.6490, 0.2500, 0.7183)
S (0.8510, 0.7500, 0.2183)
S (0.8765, 0.2500, 0.9326)
S (0.9931, 0.7500, 0.6089)

***

Number 1: E_tot -4.045 eV per atom. Number 2: E_tot -7.098 eV per atom. Number 3: E_tot -11.795 eV per atom. Number 4: E_tot -6.764 eV per atom.